Entry 1:
Mn2ZnOs at its PBEsol-relaxed geometry, computed with meta-GGA SCAN.

Summary:
* energy of formation: -48.0 meV per atom
* calculated volume: 12.4 Å³ per atom
* uncorrected energy: -30.52 eV/atom
* Fermi-level density of states: 3.4 states/eV per cell
* space group: No. 123
* M_tot: 5.42 μB per formula unit

a b c (Å): 2.6638 2.6638 6.9682
angles (deg): 90.00 90.00 90.00
Last column: nearest neighbours and their distance in Å.
Positions (direct):
Zn  0.5000  0.5000  0.5000  8 Mn 2.58, 4 Zn 2.66
Mn  0.0000  0.0000  0.7535  4 Os 2.55, 4 Zn 2.58, 4 Mn 2.66
Mn  0.0000  0.0000  0.2465  4 Os 2.55, 4 Zn 2.58, 4 Mn 2.66
Os  0.5000  0.5000  0.0000  8 Mn 2.55, 4 Os 2.66

Entry 2:
ScIn2P at its PBEsol-relaxed geometry, computed with meta-GGA SCAN.

Summary:
* energy of formation: -483.0 meV per atom
* calculated volume: 22.8 Å³ per atom
* uncorrected energy: -23.34 eV/atom
* Fermi-level density of states: 1.8 states/eV per cell
* space group: No. 71
* M_tot: 0.00 μB per formula unit

a b c (Å): 3.6177 3.6493 7.3760
angles (deg): 104.32 104.20 90.00
Last column: nearest neighbours and their distance in Å.
Positions (direct):
In  0.8150  0.8150  0.6301  2 Sc 3.13, 4 In 3.14, 2 P 3.14
In  0.1850  0.1850  0.3699  2 Sc 3.13, 4 In 3.14, 2 P 3.14
P  0.0000  0.5000  0.0000  4 Sc 2.57
Sc  0.5000  0.0000  0.0000  4 P 2.57

Entry 3:
CoIrPt2 at its PBEsol-relaxed geometry, computed with meta-GGA SCAN.

Summary:
* energy of formation: -28.6 meV per atom
* calculated volume: 13.8 Å³ per atom
* uncorrected energy: -57.23 eV/atom
* Fermi-level density of states: 3.8 states/eV per cell
* space group: No. 8
* M_tot: 2.73 μB per formula unit
* excess energy over the best structure of this formula in the dataset: 60.5 meV per atom

a b c (Å): 2.6915 4.6661 4.6576
angles (deg): 100.03 106.79 90.00
Last column: nearest neighbours and their distance in Å.
Positions (direct):
Ir  0.7565  0.2551  0.5130  3 Co 2.60-2.75, 7 Pt 2.65-2.74, 2 Ir 2.69
Co  0.4966  0.4962  0.9931  3 Ir 2.60-2.75, 7 Pt 2.65-2.73, 2 Co 2.69
Pt  0.0026  0.0084  0.0052  4 Co 2.65-2.73, 3 Ir 2.66-2.70, 5 Pt 2.68-2.76
Pt  0.2443  0.7404  0.4887  4 Ir 2.65-2.74, 3 Co 2.66-2.70, 5 Pt 2.68-2.76

Entry 4:
Hf2CoH at its PBEsol-relaxed geometry, computed with meta-GGA SCAN.

Summary:
* calculated volume: 13.9 Å³ per atom
* uncorrected energy: -36.49 eV/atom
* Fermi-level density of states: 2.0 states/eV per cell
* space group: No. 225
* M_tot: 0.00 μB per formula unit
* excess energy over the best structure of this formula in the dataset: 168.3 meV per atom

a b c (Å): 4.2794 4.2794 4.2794
angles (deg): 60.00 60.00 60.00
Last column: nearest neighbours and their distance in Å.
Positions (direct):
Co  0.5000  0.5000  0.5000  8 Hf 2.62
Hf  0.2500  0.2500  0.2500  4 H 2.62, 4 Co 2.62
Hf  0.7500  0.7500  0.7500  4 Co 2.62, 4 H 2.62
H  0.0000  0.0000  0.0000  8 Hf 2.62